# 1
VASP calculation (GGA-PBE) on an optimized crystal structure of Li2YMo.

```
data_Li2YMo
_space_group_name_H-M_alt 'P 1 2/m 1'
_space_group_IT_number 10
_cell_length_a 2.841
_cell_length_b 5.281
_cell_length_c 5.264
_cell_angle_alpha 90.00
_cell_angle_beta 94.44
_cell_angle_gamma 90.00
loop_
_space_group_symop_operation_xyz
'x,y,z'
'-x,-y,-z'
'-x,y,-z'
'x,-y,z'
loop_
_atom_site_label
_atom_site_type_symbol
_atom_site_fract_x
_atom_site_fract_y
_atom_site_fract_z
_atom_site_occupancy
Li1 Li 0.246 0.000 0.212 1
Y1 Y 0.000 0.500 0.500 1
Mo1 Mo 0.500 0.500 0.000 1
```

Output
Formation enthalpy at 0 K = 0.465 eV per atom
Total magnetization = 0.000 μB/f.u.
ΔE to the lowest computed polymorph = 0.067 eV per atom


# 2
VASP calculation (GGA-PBE) on an optimized crystal structure of Li2YMo.

```
data_Li2YMo
_space_group_name_H-M_alt 'C m m m'
_space_group_IT_number 65
_space_group_name_Hall '-C 2 2'
_cell_length_a 3.164
_cell_length_b 4.709
_cell_length_c 10.531
_cell_angle_alpha 90.00
_cell_angle_beta 90.00
_cell_angle_gamma 90.00
loop_
_atom_site_label
_atom_site_type_symbol
_atom_site_fract_x
_atom_site_fract_y
_atom_site_fract_z
_atom_site_occupancy
Li1 Li 0.000 0.000 0.225 1
Y1 Y 0.000 0.500 0.500 1
Mo1 Mo 0.000 0.500 0.000 1
```

Output
Formation enthalpy at 0 K = 0.599 eV per atom
Total magnetization = 0.000 μB/f.u.
ΔE to the lowest computed polymorph = 0.202 eV per atom


# 3
VASP calculation (GGA-PBE) on an optimized crystal structure of Li2YMo.

```
data_Li2YMo
_space_group_name_H-M_alt 'C 1 2/m 1'
_space_group_IT_number 12
_cell_length_a 10.961
_cell_length_b 2.925
_cell_length_c 5.110
_cell_angle_alpha 90.00
_cell_angle_beta 101.98
_cell_angle_gamma 90.00
loop_
_space_group_symop_operation_xyz
'x,y,z'
'-x,-y,-z'
'-x,y,-z'
'x,-y,z'
'x+1/2,y+1/2,z'
'-x+1/2,-y+1/2,-z'
'-x+1/2,y+1/2,-z'
'x+1/2,-y+1/2,z'
loop_
_atom_site_label
_atom_site_type_symbol
_atom_site_fract_x
_atom_site_fract_y
_atom_site_fract_z
_atom_site_occupancy
Li1 Li 0.234 0.000 0.209 1
Y1 Y 0.000 0.000 0.500 1
Mo1 Mo 0.000 0.500 0.000 1
```

Output
Formation enthalpy at 0 K = 0.454 eV per atom
Total magnetization = 0.001 μB/f.u.
ΔE to the lowest computed polymorph = 0.057 eV per atom